The following is a GGA+U calculation of an optimized crystal structure of Cs6Si2NiO8, from Alexandria.

Unit cell a=6.977 b=7.256 c=8.190 alpha=85.63 beta=87.24 gamma=68.87
Sites, in units of the cell vectors:
Cs  0.153  0.326  0.167
Cs  0.218  0.696  0.460
Cs  0.301  0.799  0.983
Cs  0.699  0.201  0.017
Cs  0.782  0.304  0.540
Cs  0.847  0.674  0.833
Si  0.284  0.242  0.726
Si  0.716  0.758  0.274
Ni  0.500  0.000  0.500
O  0.082  0.213  0.818
O  0.266  0.249  0.519
O  0.320  0.440  0.784
O  0.498  0.039  0.746
O  0.502  0.961  0.254
O  0.680  0.560  0.216
O  0.734  0.751  0.481
O  0.918  0.787  0.182

Output
Space group: P-1
Final energy: -5.38 eV/atom